[1]
{
  "formula": "K2Cd",
  "functional": "PBE",
  "state": "relaxed",
  "lattice": [[0.000, 7.661, 7.661], [7.661, 0.000, 7.661], [7.661, 7.661, 0.000]],
  "species": ["K", "K", "K", "K", "Cd", "Cd"],
  "frac_coords": [[0.000, 0.000, 0.000], [0.000, 0.000, 0.500], [0.000, 0.500, 0.000], [0.500, 0.000, 0.000], [0.125, 0.125, 0.125], [0.875, 0.875, 0.875]],
  "energy_ev_per_atom": -0.587,
  "sg": "No. 227",
  "de_polymorph_kcal_per_mol_atoms": 4.46
}

[2]
{
  "formula": "KLaCdSe3",
  "functional": "PBE",
  "state": "relaxed",
  "lattice": [[9.182, -2.207, 0.000], [9.182, 2.207, 0.000], [-2.444, 0.000, 8.977]],
  "species": ["K", "K", "La", "La", "Cd", "Cd", "Se", "Se", "Se", "Se", "Se", "Se"],
  "frac_coords": [[0.137, 0.137, 0.072], [0.863, 0.863, 0.928], [0.172, 0.172, 0.598], [0.828, 0.828, 0.402], [0.491, 0.491, 0.282], [0.509, 0.509, 0.718], [0.000, 0.000, 0.500], [0.334, 0.334, 0.192], [0.339, 0.339, 0.630], [0.500, 0.500, 0.000], [0.661, 0.661, 0.370], [0.666, 0.666, 0.808]],
  "energy_ev_per_atom": -4.216,
  "m_tot_mub_per_cell": 0.00,
  "sg": "No. 12"
}

[3]
{
  "formula": "KLaCdSe3",
  "functional": "PBE",
  "state": "relaxed",
  "lattice": [[8.562, 0.000, 0.000], [0.000, 4.366, 0.000], [-3.024, 0.000, 10.304]],
  "species": ["K", "K", "La", "La", "Cd", "Cd", "Se", "Se", "Se", "Se", "Se", "Se"],
  "frac_coords": [[0.241, 0.250, 0.222], [0.759, 0.750, 0.778], [0.195, 0.750, 0.633], [0.805, 0.250, 0.367], [0.418, 0.250, 0.892], [0.582, 0.750, 0.108], [0.038, 0.750, 0.351], [0.262, 0.750, 0.946], [0.444, 0.250, 0.655], [0.556, 0.750, 0.345], [0.738, 0.250, 0.054], [0.962, 0.250, 0.649]],
  "energy_ev_per_atom": -4.273,
  "m_tot_mub_per_cell": 0.00,
  "sg": "No. 11"
}

[4]
{
  "formula": "KLiCdO2",
  "functional": "PBE",
  "state": "relaxed",
  "lattice": [[3.501, 0.000, 0.000], [-1.750, 3.032, 0.000], [0.000, 0.000, 6.822]],
  "species": ["K", "Li", "Cd", "O", "O"],
  "frac_coords": [[0.000, 0.000, 0.000], [0.333, 0.667, 0.308], [0.667, 0.333, 0.597], [0.333, 0.667, 0.737], [0.667, 0.333, 0.275]],
  "energy_ev_per_atom": -4.070,
  "sg": "No. 156"
}

[5]
{
  "formula": "KLuCdO3",
  "functional": "PBE",
  "state": "relaxed",
  "lattice": [[1.740, -6.583, 0.000], [1.740, 6.583, 0.000], [0.000, 0.000, 8.961]],
  "species": ["K", "K", "Lu", "Lu", "Cd", "Cd", "O", "O", "O", "O", "O", "O"],
  "frac_coords": [[0.179, 0.821, 0.750], [0.821, 0.179, 0.250], [0.500, 0.500, 0.000], [0.500, 0.500, 0.500], [0.100, 0.900, 0.250], [0.900, 0.100, 0.750], [0.108, 0.892, 0.019], [0.108, 0.892, 0.481], [0.481, 0.519, 0.250], [0.519, 0.481, 0.750], [0.892, 0.108, 0.519], [0.892, 0.108, 0.981]],
  "energy_ev_per_atom": -5.636,
  "m_tot_mub_per_cell": 0.00,
  "sg": "No. 63"
}

[6]
{
  "formula": "KLuCdTe3",
  "functional": "PBE",
  "state": "relaxed",
  "lattice": [[11.724, 0.000, 0.000], [0.000, 4.439, 0.000], [0.000, 0.000, 15.801]],
  "species": ["K", "K", "K", "K", "Lu", "Lu", "Lu", "Lu", "Cd", "Cd", "Cd", "Cd", "Te", "Te", "Te", "Te", "Te", "Te", "Te", "Te", "Te", "Te", "Te", "Te"],
  "frac_coords": [[0.231, 0.250, 0.008], [0.269, 0.750, 0.508], [0.731, 0.250, 0.492], [0.769, 0.750, 0.992], [0.015, 0.750, 0.746], [0.485, 0.250, 0.246], [0.515, 0.750, 0.754], [0.985, 0.250, 0.254], [0.238, 0.750, 0.214], [0.262, 0.250, 0.714], [0.738, 0.750, 0.286], [0.762, 0.250, 0.786], [0.032, 0.750, 0.124], [0.062, 0.250, 0.616], [0.235, 0.250, 0.327], [0.265, 0.750, 0.827], [0.438, 0.750, 0.116], [0.468, 0.250, 0.624], [0.532, 0.750, 0.376], [0.562, 0.250, 0.884], [0.735, 0.250, 0.173], [0.765, 0.750, 0.673], [0.938, 0.750, 0.384], [0.968, 0.250, 0.876]],
  "energy_ev_per_atom": -3.679,
  "m_tot_mub_per_cell": 0.02,
  "sg": "No. 62",
  "de_polymorph_kcal_per_mol_atoms": 0.01
}

[7]
{
  "formula": "KLuCdTe3",
  "functional": "PBE",
  "state": "relaxed",
  "lattice": [[15.924, 0.000, 0.000], [0.000, 4.447, 0.000], [0.000, 0.000, 11.879]],
  "species": ["K", "K", "K", "K", "Lu", "Lu", "Lu", "Lu", "Cd", "Cd", "Cd", "Cd", "Te", "Te", "Te", "Te", "Te", "Te", "Te", "Te", "Te", "Te", "Te", "Te"],
  "frac_coords": [[0.233, 0.250, 0.051], [0.267, 0.750, 0.551], [0.733, 0.250, 0.449], [0.767, 0.750, 0.949], [0.021, 0.250, 0.350], [0.479, 0.750, 0.850], [0.521, 0.250, 0.150], [0.979, 0.750, 0.650], [0.017, 0.750, 0.099], [0.483, 0.250, 0.599], [0.517, 0.750, 0.401], [0.983, 0.250, 0.901], [0.096, 0.750, 0.872], [0.098, 0.250, 0.578], [0.140, 0.750, 0.266], [0.360, 0.250, 0.766], [0.402, 0.750, 0.078], [0.404, 0.250, 0.372], [0.596, 0.750, 0.628], [0.598, 0.250, 0.922], [0.640, 0.750, 0.234], [0.860, 0.250, 0.734], [0.902, 0.750, 0.422], [0.904, 0.250, 0.128]],
  "energy_ev_per_atom": -3.677,
  "m_tot_mub_per_cell": 0.03,
  "sg": "No. 62",
  "de_polymorph_kcal_per_mol_atoms": 0.04
}

[8]
{
  "formula": "KLuCdTe3",
  "functional": "PBE",
  "state": "relaxed",
  "lattice": [[2.208, -7.970, 0.000], [2.208, 7.970, 0.000], [0.000, 0.000, 11.681]],
  "species": ["K", "K", "Lu", "Lu", "Cd", "Cd", "Te", "Te", "Te", "Te", "Te", "Te"],
  "frac_coords": [[0.245, 0.755, 0.750], [0.755, 0.245, 0.250], [0.000, 0.000, 0.000], [0.000, 0.000, 0.500], [0.461, 0.539, 0.250], [0.539, 0.461, 0.750], [0.075, 0.925, 0.250], [0.370, 0.630, 0.045], [0.370, 0.630, 0.455], [0.630, 0.370, 0.545], [0.630, 0.370, 0.955], [0.925, 0.075, 0.750]],
  "energy_ev_per_atom": -3.679,
  "m_tot_mub_per_cell": 0.00,
  "sg": "No. 63",
  "de_polymorph_kcal_per_mol_atoms": 0.00
}

[9]
{
  "formula": "KLuCdTe3",
  "functional": "PBE",
  "state": "relaxed",
  "lattice": [[9.083, 0.000, 0.000], [0.000, 4.440, 0.000], [-3.505, 0.000, 10.506]],
  "species": ["K", "K", "Lu", "Lu", "Cd", "Cd", "Te", "Te", "Te", "Te", "Te", "Te"],
  "frac_coords": [[0.240, 0.250, 0.273], [0.760, 0.750, 0.727], [0.322, 0.750, 0.864], [0.678, 0.250, 0.136], [0.078, 0.250, 0.611], [0.922, 0.750, 0.389], [0.087, 0.250, 0.865], [0.251, 0.750, 0.557], [0.453, 0.750, 0.148], [0.547, 0.250, 0.852], [0.749, 0.250, 0.443], [0.913, 0.750, 0.135]],
  "energy_ev_per_atom": -3.674,
  "m_tot_mub_per_cell": 0.00,
  "sg": "No. 11",
  "de_polymorph_kcal_per_mol_atoms": 0.11
}

[10]
{
  "formula": "KLuCdTe3",
  "functional": "PBE",
  "state": "relaxed",
  "lattice": [[8.811, 0.000, 0.000], [0.000, 4.753, 0.000], [0.000, 0.000, 18.243]],
  "species": ["K", "K", "K", "K", "Lu", "Lu", "Lu", "Lu", "Cd", "Cd", "Cd", "Cd", "Te", "Te", "Te", "Te", "Te", "Te", "Te", "Te", "Te", "Te", "Te", "Te"],
  "frac_coords": [[0.058, 0.250, 0.193], [0.442, 0.750, 0.693], [0.558, 0.250, 0.307], [0.942, 0.750, 0.807], [0.237, 0.250, 0.960], [0.263, 0.750, 0.460], [0.737, 0.250, 0.540], [0.763, 0.750, 0.040], [0.086, 0.250, 0.657], [0.414, 0.750, 0.157], [0.586, 0.250, 0.843], [0.914, 0.750, 0.343], [0.001, 0.250, 0.425], [0.127, 0.750, 0.051], [0.239, 0.250, 0.795], [0.261, 0.750, 0.295], [0.373, 0.250, 0.551], [0.499, 0.750, 0.925], [0.501, 0.250, 0.075], [0.627, 0.750, 0.449], [0.739, 0.250, 0.705], [0.761, 0.750, 0.205], [0.873, 0.250, 0.949], [0.999, 0.750, 0.575]],
  "energy_ev_per_atom": -3.557,
  "m_tot_mub_per_cell": 0.00,
  "sg": "No. 62",
  "de_polymorph_kcal_per_mol_atoms": 2.82
}

[11]
{
  "formula": "K2Pr2NdMg3Cd",
  "functional": "PBE",
  "state": "relaxed",
  "lattice": [[4.910, 0.000, 0.000], [0.000, 7.246, 4.196], [0.000, -7.246, 4.196]],
  "species": ["K", "K", "Pr", "Pr", "Nd", "Mg", "Mg", "Mg", "Cd"],
  "frac_coords": [[0.000, 0.167, 0.833], [0.000, 0.833, 0.167], [0.500, 0.125, 0.499], [0.500, 0.499, 0.125], [0.500, 0.875, 0.875], [0.000, 0.288, 0.288], [0.000, 0.501, 0.715], [0.000, 0.715, 0.501], [0.500, 0.502, 0.502]],
  "energy_ev_per_atom": -2.130,
  "m_tot_mub_per_cell": 0.03,
  "sg": "No. 38"
}

[12]
{
  "formula": "K2Nd2TmMg3Cd",
  "functional": "PBE",
  "state": "relaxed",
  "lattice": [[4.877, 0.000, 0.000], [0.000, 7.018, 4.216], [0.000, -7.018, 4.216]],
  "species": ["K", "K", "Nd", "Nd", "Tm", "Mg", "Mg", "Mg", "Cd"],
  "frac_coords": [[0.000, 0.165, 0.835], [0.000, 0.835, 0.165], [0.500, 0.123, 0.493], [0.500, 0.493, 0.123], [0.500, 0.871, 0.871], [0.000, 0.297, 0.297], [0.000, 0.508, 0.726], [0.000, 0.726, 0.508], [0.500, 0.515, 0.515]],
  "energy_ev_per_atom": -2.041,
  "m_tot_mub_per_cell": 0.02,
  "sg": "No. 38"
}